# 1
Below is crystalline LiSe4Cl at its relaxed geometry, with properties calculated at the GGA-PBEsol level.

For the density of states at the Fermi level, the calculation gives 0.92 states/eV per atom. For the calculated volume, the calculation gives 500 Å³/cell. The uncorrected formation energy comes out at -0.047 eV per atom. Its final energy is -3.2767 eV/atom.

The space group is F-43m (No. 216) and the conventional cell measures 7.9388, 7.9388 and 7.9388 Å, with angles of 90.00, 90.00 and 90.00 degrees. The asymmetric unit holds Li at (0.0000, 0.0000, 0.0000), Se at (0.1244, 0.1244, 0.6244) and Cl at (0.2500, 0.2500, 0.2500).

=====

# 2
Below is crystalline GaRu3O at its relaxed geometry, with properties calculated at the GGA-PBEsol level.

For the density of states at the Fermi level, the calculation gives 0.65 states/eV per atom. For the calculated volume, the calculation gives 63 Å³/cell. The uncorrected formation energy comes out at 0.127 eV per atom. Its final energy is -7.6939 eV/atom.

The space group is Pm-3m (No. 221) and the conventional cell measures 3.9882, 3.9882 and 3.9882 Å, with angles of 90.00, 90.00 and 90.00 degrees. The asymmetric unit holds Ga at (0.0000, 0.0000, 0.0000), Ru at (0.0000, 0.5000, 0.5000) and O at (0.5000, 0.5000, 0.5000).

=====

# 3
Below is crystalline CrTe2HN at its relaxed geometry, with properties calculated at the GGA-PBEsol level.

For the density of states at the Fermi level, the calculation gives 0.50 states/eV per atom. For the calculated volume, the calculation gives 74 Å³/cell. Its final energy is -4.9013 eV/atom.

The space group is P4/mmm (No. 123) and the conventional cell measures 5.0804, 5.0804 and 2.8777 Å, with angles of 90.00, 90.00 and 90.00 degrees. The asymmetric unit holds Cr at (0.0000, 0.0000, 0.0000), Te at (0.0000, 0.5000, 0.5000), H at (0.5000, 0.5000, 0.5000) and N at (0.5000, 0.5000, 0.0000).

=====

# 4
Below is crystalline Sc3Cu4Si4 at its relaxed geometry, with properties calculated at the GGA-PBEsol level.

For the density of states at the Fermi level, the calculation gives 0.43 states/eV per atom. For the calculated volume, the calculation gives 332 Å³/cell. The uncorrected formation energy comes out at -0.601 eV per atom. Its final energy is -6.0681 eV/atom.

The space group is Immm (No. 71) and the conventional cell measures 3.5806, 3.9042 and 23.7289 Å, with angles of 90.00, 90.00 and 90.00 degrees. The asymmetric unit holds Sc at (0.0000, 0.0000, 0.0000), Sc at (0.0000, 0.5000, 0.1473), Cu at (0.0000, 0.0000, 0.2533), Cu at (0.0000, 0.5000, 0.4049), Si at (0.0000, 0.0000, 0.4512) and Si at (0.0000, 0.5000, 0.3102).

=====

# 5
Below is crystalline Th2TeN2 at its relaxed geometry, with properties calculated at the GGA-PBEsol level.

For the density of states at the Fermi level, the calculation gives 0.00 states/eV per atom. For the calculated volume, the calculation gives 213 Å³/cell. The uncorrected formation energy comes out at -1.903 eV per atom. Its final energy is -9.2619 eV/atom.

The space group is I4/mmm (No. 139) and the conventional cell measures 4.0642, 4.0642 and 12.9162 Å, with angles of 90.00, 90.00 and 90.00 degrees. The asymmetric unit holds Th at (0.0000, 0.0000, 0.1618), Te at (0.0000, 0.0000, 0.5000) and N at (0.0000, 0.5000, 0.2500).

=====

# 6
Below is crystalline ZrTi2Pt at its relaxed geometry, with properties calculated at the GGA-PBEsol level.

For the density of states at the Fermi level, the calculation gives 1.34 states/eV per atom. For the calculated volume, the calculation gives 260 Å³/cell. For the energy of formation, the calculation gives -1.871 eV per formula unit. Its final energy is -8.6422 eV/atom.

The space group is Fm-3m (No. 225) and the conventional cell measures 6.3800, 6.3800 and 6.3800 Å, with angles of 90.00, 90.00 and 90.00 degrees. The asymmetric unit holds Zr at (0.0000, 0.0000, 0.0000), Ti at (0.2500, 0.2500, 0.2500) and Pt at (0.0000, 0.0000, 0.5000).

=====

Question: Look up the calculated volume of the first one.
Answer: 500 Å³/cell